[1]
Material: Rb2TaCuS4
Method: DFT, PBE-GGA
State: optimized geometry

a b c (Å): 14.024 12.514 7.471
angles (deg): 85.17 62.77 32.06
Element x y z (fractional)
S 0.450 0.157 0.860
S 0.157 0.450 0.534
S 0.800 0.093 0.390
S 0.390 0.716 0.800
S 0.716 0.390 0.093
S 0.534 0.860 0.157
S 0.860 0.534 0.450
S 0.093 0.800 0.716
Cu 0.500 0.500 0.500
Cu 0.750 0.750 0.750
Rb 0.823 0.823 0.177
Rb 0.177 0.177 0.823
Rb 0.073 0.073 0.427
Rb 0.427 0.427 0.073
Ta 0.000 0.000 0.000
Ta 0.250 0.250 0.250

**Offset from the most stable computed form**: 0.000 eV per atom
**Formation energy without anion corrections**: -1.107 eV/atom
**Total energy**: -5.41 eV/atom
**Total moment**: 0.000 μB/atom
**SG**: Fddd, No. 70

***

[2]
Material: RbTb2Cu2S4
Method: DFT, PBE-GGA
State: optimized geometry

a b c (Å): 3.657 8.977 8.914
angles (deg): 128.86 90.00 101.75
Element x y z (fractional)
Cu 0.317 0.633 0.030
Cu 0.683 0.367 0.970
S 0.512 0.024 0.696
S 0.488 0.976 0.304
S 0.233 0.466 0.184
S 0.767 0.534 0.816
Tb 0.885 0.770 0.376
Tb 0.115 0.230 0.624
Rb 0.000 0.000 0.000

**Formation energy without anion corrections**: -1.165 eV/atom
**Total energy**: -5.05 eV/atom
**Total moment**: 0.000 μB/atom
**SG**: C2/m, No. 12

***

[3]
Material: Rb2TbCu2S4
Method: DFT, PBE-GGA
State: optimized geometry

a b c (Å): 3.937 7.867 7.609
angles (deg): 107.94 104.99 90.00
Element x y z (fractional)
S 0.201 0.160 0.402
S 0.476 0.225 0.952
S 0.524 0.775 0.048
S 0.799 0.840 0.598
Rb 0.867 0.445 0.735
Rb 0.133 0.555 0.265
Tb 0.000 0.000 0.000
Cu 0.680 0.986 0.360
Cu 0.320 0.014 0.640

**Formation energy without anion corrections**: -1.122 eV/atom
**Total energy**: -4.60 eV/atom
**Total moment**: 0.000 μB/atom
**SG**: C2/m, No. 12

***

[4]
Material: RbTbCuS3
Method: DFT, PBE-GGA
State: optimized geometry

a b c (Å): 3.993 9.035 9.493
angles (deg): 108.70 90.00 90.00
Element x y z (fractional)
S 0.750 0.176 0.542
S 0.750 0.465 0.158
S 0.250 0.824 0.458
S 0.250 0.535 0.842
S 0.750 0.878 0.142
S 0.250 0.122 0.858
Tb 0.250 0.670 0.143
Tb 0.750 0.330 0.857
Cu 0.250 0.083 0.608
Cu 0.750 0.917 0.392
Rb 0.250 0.202 0.237
Rb 0.750 0.798 0.763

**Formation energy without anion corrections**: -1.264 eV/atom
**Total energy**: -4.94 eV/atom
**Total moment**: 0.000 μB/atom
**SG**: P2_1/m, No. 11

***

[5]
Material: RbCuTe2S4
Method: DFT, PBE-GGA
State: optimized geometry

a b c (Å): 6.901 6.580 6.580
angles (deg): 84.24 58.37 58.37
Element x y z (fractional)
S 0.000 0.842 0.549
S 0.000 0.451 0.158
S 0.609 0.549 0.842
S 0.391 0.158 0.451
Cu 0.000 0.500 0.500
Rb 0.000 0.000 0.000
Te 0.500 0.750 0.250
Te 0.500 0.250 0.750

**Formation energy without anion corrections**: -0.212 eV/atom
**Total energy**: -3.69 eV/atom
**Total moment**: 0.000 μB/atom
**SG**: I-42m, No. 121

***

[6]
Material: Rb2CuTeS4
Method: DFT, PBE-GGA
State: optimized geometry

a b c (Å): 5.730 7.752 11.559
angles (deg): 84.74 75.65 68.31
Element x y z (fractional)
Cu 0.500 0.000 0.000
Cu 0.250 0.500 0.500
Rb 0.565 0.500 0.871
Rb 0.935 0.500 0.129
Rb 0.185 0.000 0.629
Rb 0.815 0.000 0.371
S 0.286 0.809 0.130
S 0.584 0.191 0.130
S 0.905 0.809 0.870
S 0.226 0.191 0.870
S 0.524 0.309 0.630
S 0.464 0.691 0.370
S 0.845 0.691 0.630
S 0.166 0.309 0.370
Te 0.750 0.500 0.500
Te 0.000 0.000 0.000

**Formation energy without anion corrections**: -0.432 eV/atom
**Total energy**: -3.64 eV/atom
**Total moment**: 0.000 μB/atom
**SG**: Fddd, No. 70

***

[7]
Material: RbCu2TeS
Method: DFT, PBE-GGA
State: optimized geometry

a b c (Å): 4.017 6.929 10.074
angles (deg): 110.79 90.00 90.00
Element x y z (fractional)
S 0.250 0.192 0.862
S 0.750 0.808 0.138
Cu 0.250 0.006 0.602
Cu 0.750 0.994 0.398
Cu 0.250 0.913 0.230
Cu 0.750 0.087 0.770
Te 0.250 0.257 0.456
Te 0.750 0.743 0.544
Rb 0.750 0.333 0.154
Rb 0.250 0.667 0.846

**Formation energy without anion corrections**: -0.467 eV/atom
**Total energy**: -3.75 eV/atom
**Total moment**: 0.000 μB/atom
**SG**: P2_1/m, No. 11

***

[8]
Material: RbCu4TeS2
Method: DFT, PBE-GGA
State: optimized geometry

a b c (Å): 3.912 3.912 10.455
angles (deg): 90.00 90.00 90.00
Element x y z (fractional)
S 0.500 0.500 0.301
S 0.500 0.500 0.699
Rb 0.000 0.000 0.500
Cu 0.500 0.000 0.816
Cu 0.000 0.500 0.184
Cu 0.500 0.000 0.184
Cu 0.000 0.500 0.816
Te 0.000 0.000 0.000

**Formation energy without anion corrections**: -0.392 eV/atom
**Total energy**: -3.99 eV/atom
**Total moment**: 0.000 μB/atom
**SG**: P4/mmm, No. 123

***

[9]
Material: RbTh2Cu2S6
Method: DFT, PBE-GGA
State: optimized geometry

a b c (Å): 7.403 7.441 7.759
angles (deg): 119.35 87.16 63.90
Element x y z (fractional)
Th 0.173 0.652 0.175
Th 0.827 0.348 0.825
Rb 0.500 0.000 0.500
S 0.165 0.849 0.590
S 0.835 0.151 0.410
S 0.056 0.558 0.821
S 0.944 0.442 0.179
S 0.583 0.226 0.978
S 0.417 0.774 0.022
Cu 0.229 0.739 0.807
Cu 0.771 0.261 0.193

**Formation energy without anion corrections**: -1.234 eV/atom
**Total energy**: -5.67 eV/atom
**Total moment**: 0.000 μB/atom
**SG**: P-1, No. 2

***

[10]
Material: Rb4Th3CuS8
Method: DFT, PBE-GGA
State: optimized geometry

a b c (Å): 8.185 9.085 8.360
angles (deg): 117.61 119.31 90.00
Element x y z (fractional)
Th 0.000 0.500 0.500
Th 0.500 0.500 0.500
Th 0.500 0.500 0.000
S 0.244 0.704 0.488
S 0.756 0.296 0.512
S 0.269 0.299 0.537
S 0.733 0.686 0.957
S 0.731 0.701 0.463
S 0.777 0.314 0.043
S 0.267 0.314 0.043
S 0.223 0.686 0.957
Rb 0.000 0.000 0.500
Rb 0.000 0.000 0.000
Rb 0.500 0.000 0.500
Rb 0.500 0.000 0.000
Cu 0.000 0.500 0.000

**Formation energy without anion corrections**: -1.463 eV/atom
**Total energy**: -5.42 eV/atom
**Total moment**: 0.000 μB/atom
**SG**: C2/m, No. 12